Record 1
# LiScBi2B, relaxed, DFT GGA-PBE
# - ΔH_f (0 K): 0.36 eV/atom
# - DOS(E_F): 4.49 states/eV/cell
data_LiScBi2B
_chemical_formula_sum 'Li1 Sc1 Bi2 B1'
_symmetry_space_group_name_H-M 'P 1'
_symmetry_Int_Tables_number 1
_cell_length_a 5.175
_cell_length_b 4.156
_cell_length_c 5.175
_cell_angle_alpha 90.00
_cell_angle_beta 90.00
_cell_angle_gamma 90.00
loop_
_symmetry_equiv_pos_as_xyz
'x,y,z'
loop_
_atom_site_label
_atom_site_type_symbol
_atom_site_fract_x
_atom_site_fract_y
_atom_site_fract_z
B1 B 0.000 0.000 0.000
Li1 Li 0.000 0.500 0.000
Bi1 Bi 0.000 0.000 0.500
Bi2 Bi 0.500 0.000 0.000
Sc1 Sc 0.500 0.500 0.500



Record 2
# LiY2BiB, relaxed, DFT GGA-PBE
# - ΔH_f (0 K): -0.34 eV/atom
# - DOS(E_F): 2.92 states/eV/cell
data_LiY2BiB
_chemical_formula_sum 'Li1 Y2 Bi1 B1'
_symmetry_space_group_name_H-M 'P 1'
_symmetry_Int_Tables_number 1
_cell_length_a 5.048
_cell_length_b 4.517
_cell_length_c 5.048
_cell_angle_alpha 90.00
_cell_angle_beta 90.00
_cell_angle_gamma 90.00
loop_
_symmetry_equiv_pos_as_xyz
'x,y,z'
loop_
_atom_site_label
_atom_site_type_symbol
_atom_site_fract_x
_atom_site_fract_y
_atom_site_fract_z
Bi1 Bi 0.500 0.500 0.500
Li1 Li 0.000 0.500 0.000
B1 B 0.000 0.000 0.000
Y1 Y 0.500 0.000 0.000
Y2 Y 0.000 0.000 0.500



> DOS(E_F) of number 2 (LiY2BiB)?

2.92 states/eV/cell